Compound: PrZn4Ni8
Source: Alexandria via LeMat-Bulk
Functional: PBE
Structure: optimized geometry

Structure (CIF):
```
data_PrZn4Ni8
_chemical_formula_sum 'Pr2 Zn8 Ni16'
_space_group_name_H-M_alt 'I 4/m m m'
_space_group_IT_number 139
_space_group_name_Hall '-I 4 2'
_cell_length_a 8.398
_cell_length_b 8.398
_cell_length_c 4.918
_cell_angle_alpha 90.00
_cell_angle_beta 90.00
_cell_angle_gamma 90.00
loop_
_atom_site_label
_atom_site_type_symbol
_atom_site_fract_x
_atom_site_fract_y
_atom_site_fract_z
_atom_site_occupancy
Pr1 Pr 0.000 0.000 0.000 1
Zn1 Zn 0.250 0.250 0.250 1
Ni1 Ni 0.000 0.233 0.500 1
Ni2 Ni 0.000 0.358 0.000 1
```

Values from the calculation:
VASP energy = -4.497 eV/atom
Theoretical density = 8.35 g cm⁻³
Calculated formation energy = -179 meV per atom


Compound: Al2RuCl
Source: Alexandria via LeMat-Bulk
Functional: PBE
Structure: optimized geometry

Structure (CIF):
```
data_Al2RuCl
_chemical_formula_sum 'Al2 Ru1 Cl1'
_space_group_name_H-M_alt 'P 4 m m'
_space_group_IT_number 99
_cell_length_a 4.841
_cell_length_b 4.841
_cell_length_c 2.764
_cell_angle_alpha 90.00
_cell_angle_beta 90.00
_cell_angle_gamma 90.00
loop_
_space_group_symop_operation_xyz
'x,y,z'
'-y,x,z'
'-x,-y,z'
'y,-x,z'
'-x,y,z'
'y,x,z'
'x,-y,z'
'-y,-x,z'
loop_
_atom_site_label
_atom_site_type_symbol
_atom_site_fract_x
_atom_site_fract_y
_atom_site_fract_z
_atom_site_occupancy
Al1 Al 0.000 0.500 0.000 1
Ru1 Ru 0.000 0.000 0.500 1
Cl1 Cl 0.500 0.500 0.002 1
```

Values from the calculation:
Relative energy among the computed polymorphs = 419.6 meV per atom
VASP energy = -4.853 eV/atom
Formation energy without anion corrections = -201 meV/atom
Theoretical density = 4.88 g cm⁻³


Compound: YZr2Hg
Source: Alexandria via LeMat-Bulk
Functional: PBE
Structure: optimized geometry

Structure (CIF):
```
data_YZr2Hg
_chemical_formula_sum 'Y2 Zr4 Hg2'
_space_group_name_H-M_alt 'I -4 m 2'
_space_group_IT_number 119
_space_group_name_Hall 'I -4 -2'
_cell_length_a 4.516
_cell_length_b 4.516
_cell_length_c 9.312
_cell_angle_alpha 90.00
_cell_angle_beta 90.00
_cell_angle_gamma 90.00
loop_
_atom_site_label
_atom_site_type_symbol
_atom_site_fract_x
_atom_site_fract_y
_atom_site_fract_z
_atom_site_occupancy
Y1 Y 0.000 0.000 0.000 1
Zr1 Zr 0.000 0.000 0.500 1
Zr2 Zr 0.000 0.500 0.750 1
Hg1 Hg 0.000 0.500 0.250 1
```

Values from the calculation:
VASP energy = -6.014 eV/atom
Theoretical density = 8.25 g cm⁻³
Calculated formation energy = -48 meV per atom


Compound: CaBi2Pb2
Source: Alexandria via LeMat-Bulk
Functional: PBE
Structure: optimized geometry

Structure (CIF):
```
data_CaBi2Pb2
_chemical_formula_sum 'Ca2 Bi4 Pb4'
_space_group_name_H-M_alt 'I 4/m m m'
_space_group_IT_number 139
_space_group_name_Hall '-I 4 2'
_cell_length_a 4.644
_cell_length_b 4.644
_cell_length_c 16.282
_cell_angle_alpha 90.00
_cell_angle_beta 90.00
_cell_angle_gamma 90.00
loop_
_atom_site_label
_atom_site_type_symbol
_atom_site_fract_x
_atom_site_fract_y
_atom_site_fract_z
_atom_site_occupancy
Ca1 Ca 0.000 0.000 0.000 1
Bi1 Bi 0.000 0.500 0.250 1
Pb1 Pb 0.000 0.000 0.404 1
```

Values from the calculation:
VASP energy = -3.481 eV/atom
Theoretical density = 8.25 g cm⁻³
Calculated formation energy = -45 meV per atom


Compound: Zn2AgOs
Source: Alexandria via LeMat-Bulk
Functional: PBE
Structure: optimized geometry

Structure (CIF):
```
data_Zn2AgOs
_chemical_formula_sum 'Zn2 Ag1 Os1'
_space_group_name_H-M_alt 'P 4/m m m'
_space_group_IT_number 123
_space_group_name_Hall '-P 4 2'
_cell_length_a 4.357
_cell_length_b 4.357
_cell_length_c 3.098
_cell_angle_alpha 90.00
_cell_angle_beta 90.00
_cell_angle_gamma 90.00
loop_
_atom_site_label
_atom_site_type_symbol
_atom_site_fract_x
_atom_site_fract_y
_atom_site_fract_z
_atom_site_occupancy
Zn1 Zn 0.000 0.500 0.000 1
Ag1 Ag 0.000 0.000 0.500 1
Os1 Os 0.500 0.500 0.500 1
```

Values from the calculation:
Relative energy among the computed polymorphs = 67.2 meV per atom
VASP energy = -3.978 eV/atom
Theoretical density = 12.11 g cm⁻³
Calculated formation energy = 180 meV per atom


Compound: KCa2AgB
Source: Alexandria via LeMat-Bulk
Functional: PBE
Structure: optimized geometry

Structure (CIF):
```
data_KCa2AgB
_chemical_formula_sum 'K1 Ca2 Ag1 B1'
_space_group_name_H-M_alt 'P 4/m m m'
_space_group_IT_number 123
_space_group_name_Hall '-P 4 2'
_cell_length_a 6.270
_cell_length_b 6.270
_cell_length_c 5.224
_cell_angle_alpha 90.00
_cell_angle_beta 90.00
_cell_angle_gamma 90.00
loop_
_atom_site_label
_atom_site_type_symbol
_atom_site_fract_x
_atom_site_fract_y
_atom_site_fract_z
_atom_site_occupancy
K1 K 0.000 0.000 0.000 1
Ca1 Ca 0.000 0.500 0.000 1
Ag1 Ag 0.000 0.000 0.500 1
B1 B 0.500 0.500 0.500 1
```

Values from the calculation:
VASP energy = -1.174 eV/atom
Theoretical density = 1.92 g cm⁻³
Calculated formation energy = 1752 meV per atom